A relaxed Li2V3O3F5 crystal, computed with PBE+U.

Lattice parameters (Å, degrees): 5.9439 5.9415 5.9415 118.85 117.89 62.11
Site moments in Bohr magnetons follow the coordinates.
Positions (direct):
Li  0.9953  0.0077  0.9923  0.00
Li  0.7630  0.7430  0.2570  0.01
V  0.8801  0.3757  0.6243  1.94
V  0.3650  0.3869  0.1381  1.92
V  0.3650  0.8619  0.6131  1.92
O  0.1464  0.6377  0.3623  -0.05
O  0.1317  0.1450  0.8550  -0.02
O  0.6256  0.6055  0.3945  -0.03
F  0.6051  0.1178  0.8822  0.00
F  0.1223  0.6122  0.8745  0.01
F  0.1223  0.1255  0.3878  0.01
F  0.6331  0.6270  0.8589  0.01
F  0.6331  0.1411  0.3730  0.01

As for the space group: Cm (8). The calculation puts the calculated volume at 154.3 Å³/cell. As for the raw total energy: -83.28 eV per formula unit.